1.
Crystalline SrBrO5 at its relaxed geometry, computed with PBE.

Computed properties:
Theoretical density (Mg/m³): 2.510
E above lowest polymorph (meV per atom): 32
Energy relative to the elements, uncorrected (eV/atom): -0.76
Density of states at the Fermi level (states/eV/atom): 0.424

abc: 5.7922 7.0645 8.9187
angles: 73.42 88.87 70.05
With the nearest neighbours (Å) after each atom.
Atoms (fractional coordinates):
Sr (0.0763, 0.3616, 0.2757)  5 O 2.53-2.78
Sr (0.9237, 0.6384, 0.7243)  5 O 2.53-2.78
Br (0.3796, 0.7458, 0.7210)  2 Sr 2.98
Br (0.6204, 0.2542, 0.2790)  2 Sr 2.98
O (0.0447, 0.4005, 0.5495)  1 O 1.36
O (0.1000, 0.3077, 0.9779)  1 O 1.28
O (0.2121, 0.1407, 0.9389)  1 O 1.28
O (0.2430, 0.9323, 0.3155)  1 O 1.24
O (0.3031, 0.8206, 0.2256)  1 O 1.24
O (0.6969, 0.1794, 0.7744)  1 O 1.24
O (0.7570, 0.0677, 0.6845)  1 O 1.24
O (0.7879, 0.8593, 0.0611)  1 O 1.28
O (0.9000, 0.6923, 0.0221)  1 O 1.28
O (0.9553, 0.5995, 0.4505)  1 O 1.36

2.
Crystalline SrBr2O at its relaxed geometry, computed with PBE.

Computed properties:
Theoretical density (Mg/m³): 3.787
E above lowest polymorph (meV per atom): 0
Energy relative to the elements, uncorrected (eV/atom): -1.19
Density of states at the Fermi level (states/eV/atom): 0.005

abc: 11.6102 4.8188 8.2575
angles: 90.00 90.00 90.00
With the nearest neighbours (Å) after each atom.
Atoms (fractional coordinates):
Sr (0.1838, 0.2500, 0.1216)  2 O 2.50
Sr (0.3162, 0.7500, 0.6216)  2 O 2.50
Sr (0.6838, 0.2500, 0.3784)  2 O 2.50
Sr (0.8162, 0.7500, 0.8784)  2 O 2.50
Br (0.1026, 0.7500, 0.8754)  1 O 2.59
Br (0.1097, 0.7500, 0.3643)  1 O 2.54
Br (0.3903, 0.2500, 0.8643)  1 O 2.54
Br (0.3974, 0.2500, 0.3754)  1 O 2.59
Br (0.6026, 0.7500, 0.6246)  1 O 2.59
Br (0.6097, 0.7500, 0.1357)  1 O 2.54
Br (0.8903, 0.2500, 0.6357)  1 O 2.54
Br (0.8974, 0.2500, 0.1246)  1 O 2.59
O (0.2422, 0.7500, 0.1197)  2 Sr 2.50, 2 Br 2.54-2.59
O (0.2578, 0.2500, 0.6197)  2 Sr 2.50, 2 Br 2.54-2.59
O (0.7422, 0.7500, 0.3803)  2 Sr 2.50, 2 Br 2.54-2.59
O (0.7578, 0.2500, 0.8803)  2 Sr 2.50, 2 Br 2.54-2.59

How do the records compare in electronic total energy? In the order shown, they have -4.781; -3.686 eV per atom.